Run one
Material: NaTlP2O
Method: DFT, PBE
State: relaxed

## Properties
- Density of states at the Fermi level: 3.87 states/eV per cell
- Magnetic moment: 0.40 μB/atom

a b c (Å): 5.089 5.089 4.133
angles (deg): 90.00 90.00 90.00
Each line ends with the local moment (μB).
Sites, in units of the cell vectors:
P: 0.000 0.500 0.000  0.24
P: 0.500 0.000 0.000  0.24
Tl: 0.500 0.500 0.500  0.01
O: 0.000 0.000 0.500  0.79
Na: 0.000 0.000 0.000  0.00


Run two
Material: NaTlP2O
Method: DFT, PBE
State: relaxed

## Properties
- Density of states at the Fermi level: 2.91 states/eV per cell
- Magnetic moment: 0.47 μB/atom

a b c (Å): 5.282 5.282 4.394
angles (deg): 90.00 90.00 90.00
Each line ends with the local moment (μB).
Sites, in units of the cell vectors:
Tl: 0.000 0.000 0.000  0.00
Na: 0.500 0.500 0.500  0.00
O: 0.000 0.000 0.500  0.41
P: 0.500 0.000 0.000  0.42
P: 0.000 0.500 0.000  0.42


Need the numbers? Relative energies in meV per atom: run one 256; run two 0.


Run one
Material: NaTlPO2
Method: DFT, PBE
State: relaxed

## Properties
- Density of states at the Fermi level: 3.02 states/eV per cell
- Magnetic moment: 0.52 μB/atom

a b c (Å): 4.417 4.417 5.232
angles (deg): 90.00 90.00 90.00
Each line ends with the local moment (μB).
Sites, in units of the cell vectors:
O: 0.500 0.000 0.000  0.47
O: 0.000 0.500 0.000  0.47
P: 0.000 0.000 0.500  0.66
Na: 0.500 0.500 0.500  0.01
Tl: 0.000 0.000 0.000  0.00


Run two
Material: NaTlPO2
Method: DFT, PBE
State: relaxed

## Properties
- Density of states at the Fermi level: 3.77 states/eV per cell
- Magnetic moment: 0.72 μB/atom

a b c (Å): 4.247 4.247 5.381
angles (deg): 90.00 90.00 90.00
Each line ends with the local moment (μB).
Sites, in units of the cell vectors:
O: 0.500 0.000 0.000  1.04
O: 0.000 0.500 0.000  1.04
Tl: 0.500 0.500 0.500  0.01
Na: 0.000 0.000 0.000  0.00
P: 0.000 0.000 0.500  0.53


Need the numbers? Relative energies in meV per atom: run one 0; run two 293.